Below is a relaxed structure of Ac3Tl3Ag, with properties calculated at the PBE level.

Values from the calculation:
Its formation energy is -0.15 eV per atom. For the offset from the most stable computed form, the calculation gives 0.179 eV per atom.

a b c (Å): 5.6859 9.7152 9.7152
angles (deg): 120.00 90.00 90.00
Element x y z (fractional)
Ag 0.2500 0.6667 0.3333
Tl 0.2500 0.2295 0.0458
Ac 0.7500 0.6424 0.5540
Ac 0.2500 0.3576 0.4460
Tl 0.7500 0.0458 0.8163
Ac 0.2500 0.5540 0.9116
Ac 0.7500 0.9116 0.3576
Tl 0.2500 0.9542 0.1837
Ag 0.7500 0.3333 0.6667
Tl 0.2500 0.8163 0.7705
Tl 0.7500 0.7705 0.9542
Tl 0.7500 0.1837 0.2295
Ac 0.7500 0.4460 0.0884
Ac 0.2500 0.0884 0.6424

---

Below is a relaxed structure of NbB3Te, with properties calculated at the PBE level.

Values from the calculation:
As for the formation energy without anion corrections: 226 kJ per mole of atoms. For the offset from the most stable computed form, the calculation gives 0.703 eV per atom.

a b c (Å): 4.2985 4.2985 4.2985
angles (deg): 90.00 90.00 90.00
Element x y z (fractional)
B 0.5000 0.0000 0.0000
Nb 0.5000 0.5000 0.5000
Te 0.0000 0.0000 0.0000
B 0.0000 0.0000 0.5000
B 0.0000 0.5000 0.0000